(1)
# Ac2Dy6Ho | Alexandria via LeMat-Bulk | PBE-GGA | optimized geometry
# E_form	0.136	eV per atom
# calculated total energy	-4.354	eV/atom
data_Ac2Dy6Ho
_chemical_formula_sum 'Ac2 Dy6 Ho1'
_cell_length_a 8.780
_cell_length_b 3.632
_cell_length_c 10.072
_cell_angle_alpha 90.00
_cell_angle_beta 101.99
_cell_angle_gamma 90.00
_symmetry_space_group_name_H-M 'P 1 2/m 1'
_symmetry_Int_Tables_number 10
_symmetry_space_group_name_Hall '-P 2y'
loop_
_atom_site_label
_atom_site_fract_x
_atom_site_fract_y
_atom_site_fract_z
Ac1 0.194 0.000 0.462
Dy1 0.123 0.500 0.786
Dy2 0.183 0.000 0.098
Dy3 0.480 0.500 0.323
Ho1 0.500 0.500 0.000

***

(2)
# AcDy2Ho6 | Alexandria via LeMat-Bulk | PBE-GGA | optimized geometry
# E_form	0.081	eV per atom
# calculated total energy	-4.450	eV/atom
data_AcDy2Ho6
_chemical_formula_sum 'Ac1 Dy2 Ho6'
_cell_length_a 3.6139
_cell_length_b 3.6139
_cell_length_c 26.2800
_cell_angle_alpha 90.00
_cell_angle_beta 90.00
_cell_angle_gamma 120.00
_symmetry_space_group_name_H-M 'P -6 m 2'
_symmetry_Int_Tables_number 187
_symmetry_space_group_name_Hall 'P -6 2'
loop_
_atom_site_label
_atom_site_fract_x
_atom_site_fract_y
_atom_site_fract_z
Ac1 0.0000 0.0000 0.0000
Dy1 0.3333 0.6667 0.3311
Ho1 0.0000 0.0000 0.2232
Ho2 0.0000 0.0000 0.4360
Ho3 0.3333 0.6667 0.1179

***

(3)
# AcDyHo4 | Alexandria via LeMat-Bulk | PBE-GGA | optimized geometry
# E_form	0.061	eV per atom
# calculated total energy	-4.443	eV/atom
data_AcDyHo4
_chemical_formula_sum 'Ac4 Dy4 Ho16'
_cell_length_a 10.676
_cell_length_b 13.306
_cell_length_c 6.676
_cell_angle_alpha 90.00
_cell_angle_beta 122.64
_cell_angle_gamma 90.00
_symmetry_space_group_name_H-M 'C 1 2/c 1'
_symmetry_Int_Tables_number 15
_symmetry_space_group_name_Hall '-C 2yc'
loop_
_atom_site_label
_atom_site_fract_x
_atom_site_fract_y
_atom_site_fract_z
Ac1 0.000 0.074 0.250
Dy1 0.000 0.191 0.750
Ho1 0.160 0.422 0.745
Ho2 0.165 0.316 0.245

***

(4)
# AcDy4Ho15 | Alexandria via LeMat-Bulk | PBE-GGA | optimized geometry
# E_form	0.031	eV per atom
# calculated total energy	-4.529	eV/atom
data_AcDy4Ho15
_chemical_formula_sum 'Ac1 Dy4 Ho15'
_cell_length_a 5.019
_cell_length_b 5.019
_cell_length_c 25.086
_cell_angle_alpha 90.00
_cell_angle_beta 90.00
_cell_angle_gamma 90.00
_symmetry_space_group_name_H-M 'P 4/m m m'
_symmetry_Int_Tables_number 123
_symmetry_space_group_name_Hall '-P 4 2'
loop_
_atom_site_label
_atom_site_fract_x
_atom_site_fract_y
_atom_site_fract_z
Ac1 0.000 0.000 0.000
Dy1 0.000 0.000 0.203
Dy2 0.000 0.000 0.401
Ho1 0.000 0.500 0.105
Ho2 0.000 0.500 0.302
Ho3 0.000 0.500 0.500
Ho4 0.500 0.500 0.000
Ho5 0.500 0.500 0.204
Ho6 0.500 0.500 0.401

***

(5)
# AcDy6Ho6 | Alexandria via LeMat-Bulk | PBE-GGA | optimized geometry
# E_form	0.263	eV per atom
# calculated total energy	-4.290	eV/atom
data_AcDy6Ho6
_chemical_formula_sum 'Ac1 Dy6 Ho6'
_cell_length_a 6.6382
_cell_length_b 6.6382
_cell_length_c 11.4934
_cell_angle_alpha 90.00
_cell_angle_beta 90.00
_cell_angle_gamma 120.00
_symmetry_space_group_name_H-M 'P 6/m m m'
_symmetry_Int_Tables_number 191
_symmetry_space_group_name_Hall '-P 6 2'
loop_
_atom_site_label
_atom_site_fract_x
_atom_site_fract_y
_atom_site_fract_z
Ac1 0.0000 0.0000 0.0000
Dy1 0.0000 0.0000 0.3548
Dy2 0.3333 0.6667 0.0000
Dy3 0.3333 0.6667 0.5000
Ho1 0.0000 0.5000 0.2471

***

(6)
# AcDyHo | Alexandria via LeMat-Bulk | PBE-GGA | optimized geometry
# E_form	0.067	eV per atom
# calculated total energy	-4.362	eV/atom
data_AcDyHo
_chemical_formula_sum 'Ac4 Dy4 Ho4'
_cell_length_a 3.751
_cell_length_b 19.186
_cell_length_c 5.953
_cell_angle_alpha 90.00
_cell_angle_beta 90.00
_cell_angle_gamma 90.00
_symmetry_space_group_name_H-M 'C m c m'
_symmetry_Int_Tables_number 63
_symmetry_space_group_name_Hall '-C 2c 2'
loop_
_atom_site_label
_atom_site_fract_x
_atom_site_fract_y
_atom_site_fract_z
Ac1 0.000 0.219 0.250
Dy1 0.000 0.104 0.750
Ho1 0.000 0.449 0.750

***

(7)
# Ac2Dy12Ho5 | Alexandria via LeMat-Bulk | PBE-GGA | optimized geometry
# E_form	0.119	eV per atom
# calculated total energy	-4.425	eV/atom
data_Ac2Dy12Ho5
_chemical_formula_sum 'Ac2 Dy12 Ho5'
_cell_length_a 6.768
_cell_length_b 7.118
_cell_length_c 13.939
_cell_angle_alpha 102.28
_cell_angle_beta 95.78
_cell_angle_gamma 103.67
_symmetry_space_group_name_H-M 'P -1'
_symmetry_Int_Tables_number 2
_symmetry_space_group_name_Hall '-P 1'
loop_
_atom_site_label
_atom_site_fract_x
_atom_site_fract_y
_atom_site_fract_z
Ac1 0.225 0.407 0.484
Dy1 0.070 0.003 0.710
Dy2 0.094 0.521 0.737
Dy3 0.169 0.212 0.111
Dy4 0.349 0.953 0.906
Dy5 0.455 0.646 0.282
Dy6 0.470 0.145 0.308
Ho1 0.114 0.720 0.092
Ho2 0.240 0.913 0.479
Ho3 0.500 0.500 0.000

***

(8)
# AcDy10Ho4 | Alexandria via LeMat-Bulk | PBE-GGA | optimized geometry
# E_form	0.532	eV per atom
# calculated total energy	-4.031	eV/atom
data_AcDy10Ho4
_chemical_formula_sum 'Ac2 Dy20 Ho8'
_cell_length_a 12.713
_cell_length_b 12.713
_cell_length_c 6.641
_cell_angle_alpha 90.00
_cell_angle_beta 90.00
_cell_angle_gamma 90.00
_symmetry_space_group_name_H-M 'I 4/m'
_symmetry_Int_Tables_number 87
_symmetry_space_group_name_Hall '-I 4'
loop_
_atom_site_label
_atom_site_fract_x
_atom_site_fract_y
_atom_site_fract_z
Ac1 0.000 0.000 0.000
Dy1 0.000 0.500 0.250
Dy2 0.129 0.709 0.249
Ho1 0.067 0.179 0.500

***

(9)
# Ac2Dy2Ho15 | Alexandria via LeMat-Bulk | PBE-GGA | optimized geometry
# E_form	0.297	eV per atom
# calculated total energy	-4.234	eV/atom
data_Ac2Dy2Ho15
_chemical_formula_sum 'Ac6 Dy6 Ho45'
_cell_length_a 11.2541
_cell_length_b 11.2541
_cell_length_c 17.5601
_cell_angle_alpha 90.00
_cell_angle_beta 90.00
_cell_angle_gamma 120.00
_symmetry_space_group_name_H-M 'R -3 m'
_symmetry_Int_Tables_number 166
_symmetry_space_group_name_Hall '-R 3 2"'
loop_
_atom_site_label
_atom_site_fract_x
_atom_site_fract_y
_atom_site_fract_z
Ac1 0.0000 0.0000 0.1134
Dy1 0.0000 0.0000 0.3313
Ho1 0.0000 0.3080 0.0000
Ho2 0.0000 0.5000 0.5000
Ho3 0.0175 0.5087 0.1384

***

(10)
# AcDyHo14 | Alexandria via LeMat-Bulk | PBE-GGA | optimized geometry
# E_form	0.017	eV per atom
# calculated total energy	-4.533	eV/atom
data_AcDyHo14
_chemical_formula_sum 'Ac2 Dy2 Ho28'
_cell_length_a 11.286
_cell_length_b 7.253
_cell_length_c 12.556
_cell_angle_alpha 90.00
_cell_angle_beta 90.00
_cell_angle_gamma 90.00
_symmetry_space_group_name_H-M 'A m m 2'
_symmetry_Int_Tables_number 38
_symmetry_space_group_name_Hall 'A 2 -2'
loop_
_atom_site_label
_atom_site_fract_x
_atom_site_fract_y
_atom_site_fract_z
Ac1 0.000 0.000 0.000
Dy1 0.000 0.000 0.499
Ho1 0.000 0.248 0.251
Ho2 0.250 0.000 0.667
Ho3 0.255 0.000 0.169
Ho4 0.255 0.248 0.416
Ho5 0.500 0.000 0.001
Ho6 0.500 0.000 0.501
Ho7 0.500 0.250 0.250

***

(11)
# Ac4Dy2Ho | Alexandria via LeMat-Bulk | PBE-GGA | optimized geometry
# E_form	0.103	eV per atom
# calculated total energy	-4.214	eV/atom
data_Ac4Dy2Ho
_chemical_formula_sum 'Ac16 Dy8 Ho4'
_cell_length_a 6.777
_cell_length_b 12.653
_cell_length_c 13.129
_cell_angle_alpha 90.00
_cell_angle_beta 104.82
_cell_angle_gamma 90.00
_symmetry_space_group_name_H-M 'C 1 c 1'
_symmetry_Int_Tables_number 9
_symmetry_space_group_name_Hall 'C -2yc'
loop_
_atom_site_label
_atom_site_fract_x
_atom_site_fract_y
_atom_site_fract_z
Ac1 0.000 0.078 0.000
Ac2 0.065 0.365 0.646
Ac3 0.359 0.144 0.565
Ac4 0.423 0.406 0.222
Dy1 0.149 0.180 0.287
Dy2 0.262 0.313 0.925
Ho1 0.461 0.059 0.855

***

(12)
# Ac2Dy2Ho | Alexandria via LeMat-Bulk | PBE-GGA | optimized geometry
# E_form	0.071	eV per atom
# calculated total energy	-4.329	eV/atom
data_Ac2Dy2Ho
_chemical_formula_sum 'Ac4 Dy4 Ho2'
_cell_length_a 6.567
_cell_length_b 7.056
_cell_length_c 9.581
_cell_angle_alpha 71.93
_cell_angle_beta 89.98
_cell_angle_gamma 62.27
_symmetry_space_group_name_H-M 'P -1'
_symmetry_Int_Tables_number 2
_symmetry_space_group_name_Hall '-P 1'
loop_
_atom_site_label
_atom_site_fract_x
_atom_site_fract_y
_atom_site_fract_z
Ac1 0.032 0.111 0.150
Ac2 0.358 0.112 0.651
Dy1 0.178 0.500 0.250
Dy2 0.242 0.693 0.552
Ho1 0.434 0.308 0.949

***

(13)
# AcDy2Ho6 | Alexandria via LeMat-Bulk | PBE-GGA | optimized geometry
# E_form	0.394	eV per atom
# calculated total energy	-4.137	eV/atom
data_AcDy2Ho6
_chemical_formula_sum 'Ac3 Dy6 Ho18'
_cell_length_a 6.8458
_cell_length_b 6.8458
_cell_length_c 25.2068
_cell_angle_alpha 90.00
_cell_angle_beta 90.00
_cell_angle_gamma 120.00
_symmetry_space_group_name_H-M 'R 3 m'
_symmetry_Int_Tables_number 160
_symmetry_space_group_name_Hall 'R 3 -2"'
loop_
_atom_site_label
_atom_site_fract_x
_atom_site_fract_y
_atom_site_fract_z
Ac1 0.0000 0.0000 0.0000
Dy1 0.0000 0.0000 0.5814
Dy2 0.0000 0.0000 0.7598
Ho1 0.0086 0.5043 0.5510
Ho2 0.1685 0.3371 0.1164

***

(14)
# AcDy4Ho2 | Alexandria via LeMat-Bulk | PBE-GGA | optimized geometry
# E_form	0.072	eV per atom
# calculated total energy	-4.453	eV/atom
data_AcDy4Ho2
_chemical_formula_sum 'Ac2 Dy8 Ho4'
_cell_length_a 6.355
_cell_length_b 8.233
_cell_length_c 10.208
_cell_angle_alpha 69.17
_cell_angle_beta 81.44
_cell_angle_gamma 70.00
_symmetry_space_group_name_H-M 'P 1'
_symmetry_Int_Tables_number 1
_symmetry_space_group_name_Hall 'P 1'
loop_
_atom_site_label
_atom_site_fract_x
_atom_site_fract_y
_atom_site_fract_z
Ac1 0.000 0.000 0.000
Ac2 0.444 0.248 0.828
Dy1 0.122 0.544 0.310
Dy2 0.170 0.136 0.253
Dy3 0.324 0.704 0.518
Dy4 0.582 0.349 0.129
Dy5 0.704 0.326 0.447
Dy6 0.866 0.900 0.698
Dy7 0.888 0.486 0.668
Dy8 0.998 0.544 0.987
Ho1 0.277 0.112 0.572
Ho2 0.448 0.708 0.840
Ho3 0.557 0.762 0.161
Ho4 0.742 0.921 0.380

***

(15)
# AcDy2Ho12 | Alexandria via LeMat-Bulk | PBE-GGA | optimized geometry
# E_form	0.116	eV per atom
# calculated total energy	-4.433	eV/atom
data_AcDy2Ho12
_chemical_formula_sum 'Ac1 Dy2 Ho12'
_cell_length_a 3.575
_cell_length_b 5.570
_cell_length_c 24.362
_cell_angle_alpha 90.00
_cell_angle_beta 94.16
_cell_angle_gamma 90.00
_symmetry_space_group_name_H-M 'P 1 2/m 1'
_symmetry_Int_Tables_number 10
_symmetry_space_group_name_Hall '-P 2y'
loop_
_atom_site_label
_atom_site_fract_x
_atom_site_fract_y
_atom_site_fract_z
Ac1 0.000 0.000 0.000
Dy1 0.365 0.000 0.725
Ho1 0.070 0.000 0.143
Ho2 0.099 0.500 0.205
Ho3 0.165 0.500 0.332
Ho4 0.216 0.000 0.427
Ho5 0.275 0.500 0.554
Ho6 0.462 0.500 0.921

***

(16)
# AcDy12Ho2 | Alexandria via LeMat-Bulk | PBE-GGA | optimized geometry
# E_form	0.115	eV per atom
# calculated total energy	-4.451	eV/atom
data_AcDy12Ho2
_chemical_formula_sum 'Ac4 Dy48 Ho8'
_cell_length_a 7.169
_cell_length_b 11.183
_cell_length_c 24.427
_cell_angle_alpha 90.00
_cell_angle_beta 94.19
_cell_angle_gamma 90.00
_symmetry_space_group_name_H-M 'C 1 2/m 1'
_symmetry_Int_Tables_number 12
_symmetry_space_group_name_Hall '-C 2y'
loop_
_atom_site_label
_atom_site_fract_x
_atom_site_fract_y
_atom_site_fract_z
Ac1 0.250 0.000 0.000
Dy1 0.019 0.250 0.079
Dy2 0.112 0.249 0.445
Dy3 0.141 0.500 0.574
Dy4 0.144 0.000 0.573
Dy5 0.167 0.250 0.668
Dy6 0.200 0.250 0.795
Dy7 0.215 0.000 0.857
Dy8 0.215 0.500 0.857
Ho1 0.068 0.500 0.275
Ho2 0.069 0.000 0.275

***

(17)
# AcDy3Ho4 | Alexandria via LeMat-Bulk | PBE-GGA | optimized geometry
# E_form	0.169	eV per atom
# calculated total energy	-4.359	eV/atom
data_AcDy3Ho4
_chemical_formula_sum 'Ac2 Dy6 Ho8'
_cell_length_a 3.465
_cell_length_b 11.726
_cell_length_c 12.993
_cell_angle_alpha 90.00
_cell_angle_beta 90.00
_cell_angle_gamma 90.00
_symmetry_space_group_name_H-M 'I m m m'
_symmetry_Int_Tables_number 71
_symmetry_space_group_name_Hall '-I 2 2'
loop_
_atom_site_label
_atom_site_fract_x
_atom_site_fract_y
_atom_site_fract_z
Ac1 0.000 0.000 0.000
Dy1 0.000 0.000 0.500
Dy2 0.000 0.500 0.255
Ho1 0.000 0.254 0.136

***

(18)
# AcDy8Ho2 | Alexandria via LeMat-Bulk | PBE-GGA | optimized geometry
# E_form	0.128	eV per atom
# calculated total energy	-4.425	eV/atom
data_AcDy8Ho2
_chemical_formula_sum 'Ac2 Dy16 Ho4'
_cell_length_a 19.398
_cell_length_b 7.014
_cell_length_c 5.489
_cell_angle_alpha 90.00
_cell_angle_beta 93.20
_cell_angle_gamma 90.00
_symmetry_space_group_name_H-M 'C 1 2/m 1'
_symmetry_Int_Tables_number 12
_symmetry_space_group_name_Hall '-C 2y'
loop_
_atom_site_label
_atom_site_fract_x
_atom_site_fract_y
_atom_site_fract_z
Ac1 0.000 0.000 0.000
Dy1 0.047 0.500 0.240
Dy2 0.137 0.269 0.730
Dy3 0.191 0.000 0.234
Ho1 0.215 0.500 0.247